No. 1
# PuMnZn (PBE, optimized geometry)
data_PuMnZn
_chemical_formula_sum 'Pu2 Mn2 Zn2'
_cell_length_a 3.1137
_cell_length_b 3.1137
_cell_length_c 11.1776
_cell_angle_alpha 90.00
_cell_angle_beta 90.00
_cell_angle_gamma 90.00
_space_group_name_H-M_alt 'I 4 m m'
_space_group_IT_number 107
_space_group_name_Hall 'I 4 -2'
loop_
_atom_site_label
_atom_site_fract_x
_atom_site_fract_y
_atom_site_fract_z
Pu1 0.0000 0.0000 0.0000
Mn1 0.0000 0.0000 0.3340
Zn1 0.0000 0.0000 0.7044
# - Fermi-level density of states: 4.7 states/eV/f.u.
# - Formation enthalpy at 0 K: 0.02 eV per atom

***

No. 2
# Nd2DyErSe4 (PBE, optimized geometry)
data_Nd2DyErSe4
_chemical_formula_sum 'Nd2 Dy1 Er1 Se4'
_cell_length_a 7.0948
_cell_length_b 4.0710
_cell_length_c 7.3529
_cell_angle_alpha 90.00
_cell_angle_beta 108.58
_cell_angle_gamma 90.00
_space_group_name_H-M_alt 'P 1 2/m 1'
_space_group_IT_number 10
_space_group_name_Hall '-P 2y'
loop_
_atom_site_label
_atom_site_fract_x
_atom_site_fract_y
_atom_site_fract_z
Nd1 0.0000 0.0000 0.0000
Nd2 0.5000 0.5000 0.0000
Dy1 0.0000 0.5000 0.5000
Er1 0.5000 0.0000 0.5000
Se1 0.2462 0.0000 0.7339
Se2 0.2577 0.5000 0.2673
# - Energy relative to the elements, uncorrected: -1.786 eV/atom
# - Fermi-level density of states: 3.9 states/eV/f.u.

***

No. 3
# Pr2SnHg5 (PBE, optimized geometry)
data_Pr2SnHg5
_chemical_formula_sum 'Pr4 Sn2 Hg10'
_cell_length_a 6.7440
_cell_length_b 13.5619
_cell_length_c 4.6147
_cell_angle_alpha 90.00
_cell_angle_beta 90.00
_cell_angle_gamma 90.00
_space_group_name_H-M_alt 'P b a m'
_space_group_IT_number 55
_space_group_name_Hall '-P 2 2ab'
loop_
_atom_site_label
_atom_site_fract_x
_atom_site_fract_y
_atom_site_fract_z
Pr1 0.2318 0.1208 0.0000
Sn1 0.0000 0.0000 0.5000
Hg1 0.0000 0.5000 0.5000
Hg2 0.0246 0.7513 0.5000
Hg3 0.2328 0.3711 0.0000
# - Fermi-level density of states: 5.6 states/eV/f.u.
# - Formation enthalpy at 0 K: -0.42 eV per atom

***

No. 4
# NaLa3Os (PBE, optimized geometry)
data_NaLa3Os
_chemical_formula_sum 'Na8 La24 Os8'
_cell_length_a 13.0436
_cell_length_b 13.6916
_cell_length_c 7.4738
_cell_angle_alpha 90.00
_cell_angle_beta 99.79
_cell_angle_gamma 90.00
_space_group_name_H-M_alt 'C 1 2/c 1'
_space_group_IT_number 15
_space_group_name_Hall '-C 2yc'
loop_
_atom_site_label
_atom_site_fract_x
_atom_site_fract_y
_atom_site_fract_z
Na1 0.1012 0.1649 0.1472
La1 0.1261 0.3950 0.9643
La2 0.1286 0.0895 0.6875
La3 0.1286 0.3425 0.5010
Os1 0.0000 0.2353 0.7500
Os2 0.0000 0.4525 0.2500
# - Relative energy among the computed polymorphs: 151 meV/atom
# - Fermi-level density of states: 5.9 states/eV/f.u.
# - Formation enthalpy at 0 K: 0.06 eV per atom

***

Question: Among the records above, which one has the highest Fermi-level density of states?
Answer: NaLa3Os

***

Question: Which formula does entry 1 have?
Answer: PuMnZn

***

Question: Which value of Fermi-level density of states does entry 4 give?
Answer: 5.9 states/eV/f.u.

***

Question: Look up the Fermi-level density of states of the third one.
Answer: 5.6 states/eV/f.u.